No. 1
Computed, not measured: a relaxed structure of MgSbBr2 at the PBE level of DFT.

Cell: 9.8512 9.8512 7.5400 Å, 49.21 49.21 90.00°
Positions (direct):
Br (0.2982, 0.6250, 0.2500)
Br (0.8750, 0.7018, 0.7500)
Br (0.4518, 0.1250, 0.2500)
Br (0.3750, 0.5482, 0.7500)
Sb (0.0000, 0.0000, 0.0000)
Sb (0.7500, 0.2500, 0.5000)
Mg (0.5000, 0.5000, 0.0000)
Mg (0.2500, 0.7500, 0.5000)

Output
The calculation puts the calculated total energy at -20.83 eV/cell. For the energy above the lowest structure with this stoichiometry, the calculation gives 426 meV per atom. Its symmetry is I-42d, No. 122.

No. 2
Computed, not measured: a relaxed structure of LiSi2Rh2 at the PBE level of DFT.

Cell: 4.0428 4.0428 5.6118 Å, 68.89 68.89 90.00°
Positions (direct):
Rh (0.2500, 0.7500, 0.5000)
Rh (0.7500, 0.2500, 0.5000)
Si (0.6235, 0.6235, 0.7531)
Si (0.3765, 0.3765, 0.2469)
Li (0.0000, 0.0000, 0.0000)

Output
The calculation puts the calculated total energy at -31.03 eV/cell. For the energy above the lowest structure with this stoichiometry, the calculation gives 46 meV per atom. Its symmetry is I4/mmm, No. 139.

No. 3
Computed, not measured: a relaxed structure of TaZn2Se at the PBE level of DFT.

Cell: 3.6246 3.6221 5.1624 Å, 90.00 90.00 90.00°
Positions (direct):
Ta (0.5000, 0.5000, 0.7500)
Se (0.5000, 0.5000, 0.2500)
Zn (0.0000, 0.0000, 0.9871)
Zn (0.0000, 0.0000, 0.5129)

Output
The calculation puts the calculated total energy at -17.39 eV/cell. Its symmetry is P4/mmm, No. 123.

No. 4
Computed, not measured: a relaxed structure of Sr2TbCd3Hg12 at the PBE level of DFT.

Cell: 13.0582 13.0582 13.0582 Å, 31.36 31.36 31.36°
Positions (direct):
Hg (0.5874, 0.1253, 0.1253)
Hg (0.8747, 0.8747, 0.4126)
Hg (0.8747, 0.4126, 0.8747)
Hg (0.8455, 0.4080, 0.4080)
Hg (0.1253, 0.5874, 0.1253)
Hg (0.1253, 0.1253, 0.5874)
Hg (0.4080, 0.8455, 0.4080)
Hg (0.1545, 0.5920, 0.5920)
Hg (0.4080, 0.4080, 0.8455)
Hg (0.5920, 0.5920, 0.1545)
Hg (0.4126, 0.8747, 0.8747)
Hg (0.5920, 0.1545, 0.5920)
Tb (0.0000, 0.0000, 0.0000)
Cd (0.0000, 0.0000, 0.5000)
Cd (0.5000, 0.0000, 0.0000)
Cd (0.0000, 0.5000, 0.0000)
Sr (0.3643, 0.3643, 0.3643)
Sr (0.6357, 0.6357, 0.6357)

Output
The calculation puts the calculated total energy at -17.16 eV/cell. As for the formation energy: -0.16 eV per atom. Its symmetry is R-3m, No. 166.

No. 5
Computed, not measured: a relaxed structure of PmSmSi at the PBE level of DFT.

Cell: 4.2597 7.1236 6.0926 Å, 90.30 110.45 107.38°
Positions (direct):
Sm (0.6012, 0.4266, 0.2747)
Sm (0.3988, 0.5734, 0.7253)
Pm (0.2754, 0.8607, 0.1900)
Pm (0.7246, 0.1393, 0.8100)
Si (0.0345, 0.1547, 0.4145)
Si (0.9655, 0.8453, 0.5855)

Output
The calculation puts the calculated total energy at -32.74 eV/cell. For the energy above the lowest structure with this stoichiometry, the calculation gives 1 meV per atom. Its symmetry is P-1, No. 2.

No. 6
Computed, not measured: a relaxed structure of YTiInAu2 at the PBE level of DFT.

Cell: 5.3603 5.3539 5.3603 Å, 90.00 90.00 90.00°
Positions (direct):
Au (0.5000, 0.0000, 0.0000)
Au (0.0000, 0.0000, 0.5000)
In (0.5000, 0.5000, 0.5000)
Ti (0.0000, 0.5000, 0.0000)
Y (0.0000, 0.0000, 0.0000)

Output
The calculation puts the calculated total energy at -19.59 eV/cell. As for the formation energy: 0.81 eV per atom. Its symmetry is P4/mmm, No. 123.

No. 7
Computed, not measured: a relaxed structure of YAg2Rh at the PBE level of DFT.

Cell: 4.7981 3.2340 5.2503 Å, 75.31 90.00 90.00°
Positions (direct):
Rh (0.5000, 0.2500, 0.2500)
Ag (0.0000, 0.0856, 0.0216)
Ag (0.0000, 0.4144, 0.4784)
Y (0.5000, 0.7500, 0.7500)

Output
The calculation puts the calculated total energy at -20.23 eV/cell. As for the formation energy: -0.18 eV per atom. For the energy above the lowest structure with this stoichiometry, the calculation gives 220 meV per atom. Its symmetry is P2/m, No. 10.

No. 8
Computed, not measured: a relaxed structure of ErMg8Cd6 at the PBE level of DFT.

Cell: 8.5886 8.5886 7.5970 Å, 55.58 55.58 60.00°
Positions (direct):
Cd (0.3946, 0.0449, 0.8487)
Cd (0.9551, 0.2882, 0.1513)
Cd (0.7118, 0.3946, 0.8487)
Cd (0.2882, 0.6054, 0.1513)
Cd (0.0449, 0.7118, 0.8487)
Cd (0.6054, 0.9551, 0.1513)
Mg (0.8835, 0.5455, 0.3558)
Mg (0.2151, 0.8835, 0.3558)
Mg (0.5455, 0.2151, 0.3558)
Mg (0.7849, 0.1165, 0.6442)
Mg (0.1165, 0.4545, 0.6442)
Mg (0.6536, 0.6536, 0.0391)
Mg (0.3464, 0.3464, 0.9609)
Mg (0.4545, 0.7849, 0.6442)
Er (0.0000, 0.0000, 0.0000)

Output
The calculation puts the calculated total energy at -23.23 eV/cell. As for the formation energy: -0.03 eV per atom. Its symmetry is R-3, No. 148.

No. 9
Computed, not measured: a relaxed structure of SrVS2 at the PBE level of DFT.

Cell: 6.0769 6.0769 7.2777 Å, 65.32 65.32 90.00°
Positions (direct):
S (0.3750, 0.4480, 0.7500)
S (0.8750, 0.8020, 0.7500)
S (0.5520, 0.1250, 0.2500)
S (0.1980, 0.6250, 0.2500)
Sr (0.7500, 0.2500, 0.5000)
Sr (0.0000, 0.0000, 0.0000)
V (0.5000, 0.5000, 0.0000)
V (0.2500, 0.7500, 0.5000)

Output
The calculation puts the calculated total energy at -47.18 eV/cell. For the energy above the lowest structure with this stoichiometry, the calculation gives 0 meV per atom. Its symmetry is I-42d, No. 122.

No. 10
Computed, not measured: a relaxed structure of K3TbU3Se8 at the PBE level of DFT.

Cell: 8.3759 8.3757 9.2009 Å, 117.09 90.00 120.00°
Positions (direct):
U (0.5000, 0.5000, 0.5000)
U (0.5000, 0.0000, 0.5000)
U (0.0000, 0.5000, 0.5000)
Se (0.7649, 0.0321, 0.2970)
Se (0.7328, 0.9679, 0.7030)
Se (0.7357, 0.4715, 0.7071)
Se (0.2643, 0.5285, 0.2929)
Se (0.7648, 0.5297, 0.2970)
Se (0.2352, 0.4703, 0.7030)
Se (0.2672, 0.0321, 0.2970)
Se (0.2351, 0.9679, 0.7030)
K (0.5000, 0.5000, 0.0000)
K (0.0000, 0.0000, 0.0000)
K (0.0000, 0.5000, 0.0000)
Tb (0.0000, 0.0000, 0.5000)

Output
The calculation puts the calculated total energy at -90.23 eV/cell. Its symmetry is R-3m, No. 166.

No. 11
Computed, not measured: a relaxed structure of Pm2TlGe2 at the PBE level of DFT.

Cell: 4.2483 7.7070 7.7070 Å, 90.00 90.00 90.00°
Positions (direct):
Pm (0.5000, 0.8198, 0.3198)
Pm (0.5000, 0.3198, 0.1802)
Pm (0.5000, 0.1802, 0.6802)
Pm (0.5000, 0.6802, 0.8198)
Ge (0.0000, 0.6159, 0.1159)
Ge (0.0000, 0.8841, 0.6159)
Ge (0.0000, 0.1159, 0.3841)
Ge (0.0000, 0.3841, 0.8841)
Tl (0.0000, 0.5000, 0.5000)
Tl (0.0000, 0.0000, 0.0000)

Output
The calculation puts the calculated total energy at -49.03 eV/cell. As for the formation energy: -0.68 eV per atom. Its symmetry is P4/mbm, No. 127.

No. 12
Computed, not measured: a relaxed structure of RbHoTe4 at the PBE level of DFT.

Cell: 6.8528 6.8528 9.2206 Å, 90.00 90.00 90.00°
Positions (direct):
Te (0.3534, 0.8534, 0.8016)
Te (0.1466, 0.3534, 0.8016)
Te (0.6466, 0.1466, 0.8016)
Te (0.8534, 0.3534, 0.1984)
Te (0.6466, 0.8534, 0.1984)
Te (0.3534, 0.1466, 0.1984)
Te (0.8534, 0.6466, 0.8016)
Te (0.1466, 0.6466, 0.1984)
Rb (0.0000, 0.0000, 0.5000)
Rb (0.5000, 0.5000, 0.5000)
Ho (0.0000, 0.0000, 0.0000)
Ho (0.5000, 0.5000, 0.0000)

Output
The calculation puts the calculated total energy at -47.27 eV/cell. Its symmetry is P4/nbm, No. 125.